{
  "formula": "La4OsI2Br",
  "functional": "PBE-GGA",
  "state": "optimized geometry",
  "crystal_system": "monoclinic",
  "sg": "P2/m (10)",
  "e_tot_ev_per_cell": -43.30,
  "formation_energy_uncorrected_ev_per_atom": -0.95,
  "cell": [[4.255, 0.000, 0.000], [0.000, 7.908, 0.295], [0.000, -2.613, 7.884]],
  "species": ["La", "Os", "I", "La", "La", "Br", "La", "I"],
  "frac_coords": [[0.000, 0.698, 0.191], [0.500, 0.500, 0.000], [0.000, 0.500, 0.500], [0.500, 0.268, 0.205], [0.500, 0.732, 0.795], [0.000, 0.000, 0.000], [0.000, 0.302, 0.809], [0.500, 0.000, 0.500]]
}


{
  "formula": "Cs2CdAu2",
  "functional": "PBE-GGA",
  "state": "optimized geometry",
  "crystal_system": "tetragonal",
  "sg": "I4/mmm (139)",
  "e_tot_ev_per_cell": -10.20,
  "e_form_ev_per_atom": -0.2052,
  "cell": [[7.073, 0.000, 0.000], [0.000, 7.073, 0.000], [3.537, 3.537, 4.129]],
  "species": ["Cs", "Cs", "Au", "Au", "Cd"],
  "frac_coords": [[0.250, 0.750, 0.500], [0.750, 0.250, 0.500], [0.335, 0.335, 0.329], [0.665, 0.665, 0.671], [0.000, 0.000, 0.000]]
}


{
  "formula": "Dy6AsSe3S2",
  "functional": "PBE-GGA",
  "state": "optimized geometry",
  "crystal_system": "monoclinic",
  "sg": "C2/m (12)",
  "e_tot_ev_per_cell": -72.87,
  "formation_energy_uncorrected_ev_per_atom": -1.82,
  "cell": [[6.934, 0.000, 0.001], [-3.466, 6.005, 0.001], [-1.155, -2.001, 6.678]],
  "species": ["Dy", "Se", "Se", "Dy", "Dy", "As", "Dy", "S", "Se", "S", "Dy", "Dy"],
  "frac_coords": [[0.416, 0.077, 0.229], [0.165, 0.835, 0.500], [0.835, 0.165, 0.500], [0.736, 0.736, 0.228], [0.923, 0.584, 0.771], [0.000, 0.000, 0.000], [0.077, 0.416, 0.229], [0.667, 0.333, 0.000], [0.500, 0.500, 0.500], [0.333, 0.667, 0.000], [0.584, 0.923, 0.771], [0.264, 0.264, 0.772]]
}


{
  "formula": "BaAl4",
  "functional": "PBE-GGA",
  "state": "optimized geometry",
  "crystal_system": "tetragonal",
  "sg": "I4/mmm (139)",
  "e_tot_ev_per_cell": -18.08,
  "e_form_ev_per_atom": -0.2380,
  "cell": [[6.536, 0.002, 0.000], [3.332, 5.623, 0.000], [-4.934, -2.813, 3.235]],
  "species": ["Ba", "Al", "Al", "Al", "Al"],
  "frac_coords": [[0.000, 0.000, 0.000], [0.750, 0.250, 0.500], [0.381, 0.381, 0.000], [0.619, 0.619, 0.000], [0.250, 0.750, 0.500]]
}


{
  "formula": "EuHgTe",
  "functional": "PBE-GGA",
  "state": "optimized geometry",
  "crystal_system": "cubic",
  "sg": "F-43m (216)",
  "e_tot_ev_per_cell": -16.50,
  "formation_energy_uncorrected_ev_per_atom": -0.93,
  "cell": [[5.350, 0.000, 0.000], [2.675, 4.633, 0.000], [2.675, 1.544, 4.368]],
  "species": ["Eu", "Hg", "Te"],
  "frac_coords": [[0.250, 0.250, 0.250], [0.500, 0.500, 0.500], [0.000, 0.000, 0.000]]
}


{
  "formula": "KLi2Mn",
  "functional": "PBE-GGA",
  "state": "optimized geometry",
  "crystal_system": "tetragonal",
  "sg": "I-4m2 (119)",
  "e_tot_ev_per_cell": -11.58,
  "e_form_ev_per_atom": 0.6281,
  "cell": [[-1.687, 1.545, -5.559], [-5.657, -1.551, -1.315], [2.613, 2.909, 4.566]],
  "species": ["Li", "Mn", "Li", "K"],
  "frac_coords": [[0.250, 0.750, 0.500], [0.500, 0.500, 0.000], [0.000, 0.000, 0.000], [0.750, 0.250, 0.500]]
}


{
  "formula": "Sm4CSe2Cl",
  "functional": "PBE-GGA",
  "state": "optimized geometry",
  "crystal_system": "monoclinic",
  "sg": "P2/m (10)",
  "e_tot_ev_per_cell": -47.89,
  "formation_energy_uncorrected_ev_per_atom": -1.37,
  "cell": [[3.946, 0.000, 0.000], [0.000, 7.099, 0.212], [0.000, -2.392, 6.598]],
  "species": ["Sm", "Sm", "Se", "C", "Cl", "Se", "Sm", "Sm"],
  "frac_coords": [[0.000, 0.291, 0.790], [0.500, 0.721, 0.774], [0.000, 0.500, 0.500], [0.500, 0.500, 0.000], [0.000, 0.000, 0.000], [0.500, 0.000, 0.500], [0.500, 0.279, 0.226], [0.000, 0.709, 0.210]]
}


{
  "formula": "ZrBi3I",
  "functional": "PBE-GGA",
  "state": "optimized geometry",
  "crystal_system": "cubic",
  "sg": "Pm-3m (221)",
  "e_tot_ev_per_cell": -15.63,
  "formation_energy_uncorrected_ev_per_atom": 1.22,
  "cell": [[-3.282, -4.479, -1.669], [4.739, -2.786, -1.843], [0.622, -2.407, 5.237]],
  "species": ["I", "Bi", "Bi", "Zr", "Bi"],
  "frac_coords": [[0.000, 0.000, 0.000], [0.000, 0.000, 0.500], [0.000, 0.500, 0.000], [0.500, 0.500, 0.500], [0.500, 0.000, 0.000]]
}


{
  "formula": "Dy2Sc3Si4",
  "functional": "PBE-GGA",
  "state": "optimized geometry",
  "crystal_system": "orthorhombic",
  "sg": "Pnma (62)",
  "e_tot_ev_per_cell": -229.63,
  "formation_energy_uncorrected_ev_per_atom": -0.84,
  "cell": [[7.085, 0.000, 0.000], [0.000, 7.389, 0.000], [0.000, 0.000, 13.969]],
  "species": ["Dy", "Dy", "Dy", "Si", "Si", "Si", "Dy", "Sc", "Si", "Sc", "Si", "Dy", "Si", "Sc", "Sc", "Dy", "Sc", "Sc", "Si", "Si", "Sc", "Si", "Si", "Si", "Si", "Sc", "Si", "Dy", "Si", "Sc", "Si", "Sc", "Dy", "Sc", "Si", "Sc"],
  "frac_coords": [[0.989, 0.824, 0.903], [0.511, 0.324, 0.097], [0.489, 0.676, 0.597], [0.343, 0.965, 0.461], [0.657, 0.035, 0.961], [0.467, 0.615, 0.250], [0.011, 0.176, 0.097], [0.170, 0.677, 0.125], [0.286, 0.873, 0.750], [0.170, 0.677, 0.375], [0.214, 0.373, 0.250], [0.989, 0.824, 0.597], [0.967, 0.885, 0.250], [0.162, 0.503, 0.750], [0.330, 0.177, 0.625], [0.011, 0.176, 0.403], [0.670, 0.823, 0.375], [0.830, 0.323, 0.625], [0.033, 0.115, 0.750], [0.657, 0.035, 0.539], [0.830, 0.323, 0.875], [0.786, 0.627, 0.750], [0.843, 0.535, 0.461], [0.533, 0.385, 0.750], [0.157, 0.465, 0.961], [0.338, 0.003, 0.250], [0.714, 0.127, 0.250], [0.489, 0.676, 0.903], [0.343, 0.965, 0.039], [0.662, 0.997, 0.750], [0.843, 0.535, 0.039], [0.838, 0.497, 0.250], [0.511, 0.324, 0.403], [0.330, 0.177, 0.875], [0.157, 0.465, 0.539], [0.670, 0.823, 0.125]]
}


{
  "formula": "Cd2Cu10Sb4S13",
  "functional": "PBE-GGA",
  "state": "optimized geometry",
  "crystal_system": "tetragonal",
  "sg": "I-42m (121)",
  "e_tot_ev_per_cell": -120.17,
  "formation_energy_uncorrected_ev_per_atom": -0.25,
  "cell": [[9.161, -0.027, 0.000], [-2.646, 8.771, 0.000], [-3.258, -4.372, 7.362]],
  "species": ["Cu", "Cu", "S", "Cu", "S", "Cu", "Cu", "S", "S", "Sb", "Cu", "Cu", "S", "S", "S", "Sb", "Cu", "Cu", "S", "S", "Sb", "S", "Sb", "Cu", "S", "Cd", "S", "S", "Cd"],
  "frac_coords": [[0.500, 0.235, 0.735], [0.000, 0.222, 0.222], [0.009, 0.480, 0.254], [0.750, 0.250, 0.500], [0.520, 0.774, 0.529], [0.250, 0.750, 0.500], [0.222, 0.000, 0.222], [0.480, 0.009, 0.254], [0.755, 0.226, 0.746], [0.016, 0.016, 0.545], [0.000, 0.778, 0.778], [0.500, 0.765, 0.265], [0.245, 0.991, 0.471], [0.991, 0.245, 0.471], [0.515, 0.253, 0.000], [0.529, 0.984, 0.000], [0.778, 0.000, 0.778], [0.235, 0.500, 0.735], [0.485, 0.485, 0.738], [0.226, 0.755, 0.746], [0.984, 0.529, 0.000], [0.000, 0.000, 0.000], [0.471, 0.471, 0.455], [0.765, 0.500, 0.265], [0.774, 0.520, 0.529], [0.763, 0.763, 0.000], [0.747, 0.747, 0.262], [0.253, 0.515, 0.000], [0.237, 0.237, 0.000]]
}


{
  "formula": "LiAsH",
  "functional": "PBE-GGA",
  "state": "optimized geometry",
  "crystal_system": "triclinic",
  "sg": "P1 (1)",
  "e_tot_ev_per_cell": -21.22,
  "cell": [[-3.893, 2.904, -0.993], [1.426, 0.384, 5.239], [4.181, 1.314, -0.846]],
  "species": ["Li", "Li", "As", "H", "As", "H"],
  "frac_coords": [[0.606, 0.419, 0.059], [0.961, 0.845, 0.916], [0.285, 0.549, 0.387], [0.854, 0.091, 0.566], [0.615, 0.921, 0.191], [0.300, 0.313, 0.224]]
}


{
  "formula": "Li8Sb2As",
  "functional": "PBE-GGA",
  "state": "optimized geometry",
  "crystal_system": "orthorhombic",
  "sg": "Imm2 (44)",
  "e_tot_ev_per_cell": -34.72,
  "formation_energy_uncorrected_ev_per_atom": -0.59,
  "cell": [[4.224, 0.049, -1.262], [-0.876, 6.218, -2.693], [0.024, -0.390, 7.762]],
  "species": ["Li", "Li", "Li", "Li", "Sb", "Li", "Sb", "As", "Li", "Li", "Li"],
  "frac_coords": [[0.951, 0.502, 0.537], [0.979, 0.024, 0.595], [0.636, 0.188, 0.909], [0.744, 0.960, 0.124], [0.477, 0.291, 0.591], [0.136, 0.532, 0.909], [0.795, 0.610, 0.227], [0.137, 0.934, 0.909], [0.322, 0.874, 0.280], [0.530, 0.746, 0.695], [0.293, 0.339, 0.223]]
}


{
  "formula": "Ba2AgSn3Au4",
  "functional": "PBE-GGA",
  "state": "optimized geometry",
  "crystal_system": "tetragonal",
  "sg": "P-4m2 (115)",
  "e_tot_ev_per_cell": -37.36,
  "e_form_ev_per_atom": -0.5545,
  "cell": [[-3.412, 1.070, -3.375], [0.338, -4.568, -1.790], [-7.861, -3.286, 6.905]],
  "species": ["Sn", "Au", "Au", "Ba", "Sn", "Au", "Au", "Sn", "Ba", "Ag"],
  "frac_coords": [[0.500, 0.000, 0.875], [0.000, 0.000, 0.000], [0.500, 0.000, 0.625], [0.000, 0.500, 0.751], [0.000, 0.000, 0.500], [0.500, 0.500, 0.000], [0.000, 0.500, 0.375], [0.000, 0.500, 0.125], [0.500, 0.000, 0.249], [0.500, 0.500, 0.500]]
}


{
  "formula": "HfTl3Se",
  "functional": "PBE-GGA",
  "state": "optimized geometry",
  "crystal_system": "cubic",
  "sg": "Pm-3m (221)",
  "e_tot_ev_per_cell": -17.21,
  "formation_energy_uncorrected_ev_per_atom": 0.66,
  "cell": [[-1.501, -4.100, -3.645], [5.311, -2.032, 0.099], [-1.373, -3.378, 4.365]],
  "species": ["Tl", "Tl", "Se", "Hf", "Tl"],
  "frac_coords": [[0.000, 0.500, 0.000], [0.000, 0.000, 0.500], [0.500, 0.500, 0.500], [0.000, 0.000, 0.000], [0.500, 0.000, 0.000]]
}


{
  "formula": "MnTcBr2",
  "functional": "PBE-GGA",
  "state": "optimized geometry",
  "crystal_system": "trigonal",
  "sg": "R-3m (166)",
  "e_tot_ev_per_cell": -20.49,
  "formation_energy_uncorrected_ev_per_atom": 0.60,
  "cell": [[8.357, -0.067, -0.040], [7.718, 3.205, -0.040], [7.718, 1.507, 2.829]],
  "species": ["Mn", "Tc", "Br", "Br"],
  "frac_coords": [[0.750, 0.750, 0.750], [0.250, 0.250, 0.250], [0.494, 0.494, 0.494], [0.006, 0.006, 0.006]]
}


{
  "formula": "TaSn2IrBr",
  "functional": "PBE-GGA",
  "state": "optimized geometry",
  "crystal_system": "tetragonal",
  "sg": "P4/mmm (123)",
  "e_tot_ev_per_cell": -27.74,
  "formation_energy_uncorrected_ev_per_atom": 0.53,
  "cell": [[-1.943, -3.038, -3.653], [-1.886, -3.140, 3.615], [-4.363, 2.703, 0.072]],
  "species": ["Sn", "Ir", "Ta", "Sn", "Br"],
  "frac_coords": [[0.000, 0.000, 0.500], [0.000, 0.000, 0.000], [0.000, 0.500, 0.000], [0.500, 0.000, 0.000], [0.500, 0.500, 0.500]]
}


{
  "formula": "RbLa3P",
  "functional": "PBE-GGA",
  "state": "optimized geometry",
  "crystal_system": "cubic",
  "sg": "Pm-3m (221)",
  "e_tot_ev_per_cell": -15.47,
  "e_form_ev_per_atom": 1.1387,
  "cell": [[5.528, 0.000, 0.000], [0.000, 5.528, 0.000], [0.000, 0.000, 5.528]],
  "species": ["Rb", "La", "La", "La", "P"],
  "frac_coords": [[0.000, 0.000, 0.000], [0.500, 0.000, 0.000], [0.000, 0.000, 0.500], [0.000, 0.500, 0.000], [0.500, 0.500, 0.500]]
}


{
  "formula": "KNiN3",
  "functional": "PBE-GGA",
  "state": "optimized geometry",
  "crystal_system": "cubic",
  "sg": "Pm-3m (221)",
  "e_tot_ev_per_cell": -23.69,
  "formation_energy_uncorrected_ev_per_atom": 1.63,
  "cell": [[3.859, 0.000, 0.000], [0.000, 3.859, 0.000], [0.000, 0.000, 3.859]],
  "species": ["K", "N", "N", "Ni", "N"],
  "frac_coords": [[0.500, 0.500, 0.500], [0.000, 0.000, 0.500], [0.500, 0.000, 0.000], [0.000, 0.000, 0.000], [0.000, 0.500, 0.000]]
}


{
  "formula": "LaCeHg4",
  "functional": "PBE-GGA",
  "state": "optimized geometry",
  "crystal_system": "monoclinic",
  "sg": "C2/m (12)",
  "e_tot_ev_per_cell": -14.59,
  "e_form_ev_per_atom": -0.4211,
  "cell": [[4.784, 0.000, 1.756], [2.430, 5.623, 0.757], [0.491, -1.169, 6.040]],
  "species": ["La", "Hg", "Ce", "Hg", "Hg", "Hg"],
  "frac_coords": [[0.000, 0.000, 0.000], [0.244, 0.089, 0.422], [0.500, 0.500, 0.500], [0.755, 0.911, 0.578], [0.244, 0.422, 0.089], [0.755, 0.578, 0.911]]
}


{
  "formula": "Gd3Ni5H12",
  "functional": "PBE-GGA",
  "state": "optimized geometry",
  "crystal_system": "cubic",
  "sg": "Ia-3d (230)",
  "e_tot_ev_per_cell": -466.87,
  "cell": [[-2.292, -9.051, -3.007], [1.547, -0.066, 9.686], [-7.385, 6.108, -2.090]],
  "species": ["H", "H", "H", "H", "H", "H", "Ni", "Gd", "H", "Ni", "H", "Gd", "Ni", "H", "Gd", "Gd", "Ni", "Gd", "H", "H", "H", "H", "Ni", "Gd", "H", "Ni", "H", "Gd", "H", "Gd", "H", "H", "H", "H", "Ni", "H", "H", "H", "Gd", "H", "Ni", "H", "Ni", "H", "H", "Gd", "H", "H", "H", "Ni", "H", "H", "H", "H", "Gd", "H", "Ni", "Ni", "Gd", "H", "Ni", "H", "Ni", "H", "Ni", "H", "Ni", "H", "H", "Ni", "H", "Ni", "H", "H", "Ni", "H", "H", "H", "H", "Ni"],
  "frac_coords": [[0.905, 0.822, 0.507], [0.083, 0.178, 0.185], [0.993, 0.595, 0.178], [0.583, 0.685, 0.678], [0.595, 0.993, 0.678], [0.595, 0.602, 0.417], [0.375, 0.250, 0.125], [0.125, 0.875, 0.750], [0.007, 0.405, 0.822], [0.000, 0.500, 0.000], [0.905, 0.083, 0.898], [0.125, 0.250, 0.875], [0.500, 0.000, 0.500], [0.178, 0.095, 0.993], [0.875, 0.750, 0.125], [0.750, 0.375, 0.125], [0.125, 0.750, 0.375], [0.750, 0.875, 0.625], [0.898, 0.315, 0.493], [0.083, 0.905, 0.398], [0.095, 0.178, 0.493], [0.507, 0.185, 0.102], [0.125, 0.375, 0.250], [0.875, 0.125, 0.250], [0.583, 0.898, 0.405], [0.875, 0.250, 0.625], [0.095, 0.917, 0.102], [0.625, 0.375, 0.750], [0.178, 0.083, 0.685], [0.250, 0.125, 0.375], [0.322, 0.507, 0.405], [0.398, 0.405, 0.083], [0.815, 0.322, 0.917], [0.102, 0.685, 0.507], [0.250, 0.375, 0.625], [0.685, 0.583, 0.178], [0.507, 0.322, 0.905], [0.602, 0.007, 0.185], [0.375, 0.750, 0.625], [0.315, 0.417, 0.822], [0.500, 0.000, 0.000], [0.917, 0.095, 0.602], [0.000, 0.000, 0.500], [0.417, 0.315, 0.322], [0.685, 0.102, 0.007], [0.375, 0.625, 0.250], [0.898, 0.583, 0.905], [0.405, 0.398, 0.583], [0.185, 0.507, 0.602], [0.000, 0.000, 0.000], [0.822, 0.905, 0.007], [0.405, 0.007, 0.322], [0.822, 0.917, 0.315], [0.102, 0.417, 0.095], [0.250, 0.625, 0.875], [0.322, 0.815, 0.417], [0.625, 0.750, 0.875], [0.250, 0.875, 0.125], [0.625, 0.250, 0.375], [0.815, 0.493, 0.398], [0.625, 0.875, 0.250], [0.493, 0.815, 0.898], [0.750, 0.125, 0.875], [0.185, 0.678, 0.083], [0.375, 0.125, 0.750], [0.678, 0.493, 0.595], [0.000, 0.500, 0.500], [0.602, 0.595, 0.917], [0.417, 0.102, 0.595], [0.750, 0.625, 0.375], [0.007, 0.602, 0.685], [0.500, 0.500, 0.000], [0.678, 0.185, 0.583], [0.315, 0.898, 0.993], [0.500, 0.500, 0.500], [0.993, 0.398, 0.315], [0.398, 0.993, 0.815], [0.493, 0.678, 0.095], [0.917, 0.822, 0.815], [0.875, 0.625, 0.750]]
}